[1]
AgPd5Au6 | PBE | relaxed

Its magnetic moment is 0.00 μB per cell.

It has space group Immm (No. 71), with a = 4.1020 Å, b = 8.0772 Å, c = 12.1990 Å, α = 90.00°, β = 90.00° and γ = 90.00°. The inequivalent atoms are Ag at (0.0000, 0.0000, 0.0000), Pd at (0.0000, 0.0000, 0.3321), Pd at (0.0000, 0.5000, 0.0000), Pd at (0.0000, 0.5000, 0.3341), Au at (0.0000, 0.2455, 0.5000) and Au at (0.0000, 0.2523, 0.1675).

=====

[2]
AgPd3Au6 | PBE | relaxed

Its magnetic moment is 0.00 μB per cell.

It has space group P2_1/m (No. 11), with a = 10.8322 Å, b = 2.8347 Å, c = 12.0059 Å, α = 90.00°, β = 108.67° and γ = 90.00°. The inequivalent atoms are Ag at (0.0732, 0.2500, 0.1871), Pd at (0.0092, 0.2500, 0.3951), Pd at (0.3884, 0.2500, 0.9991), Pd at (0.4702, 0.2500, 0.5903), Au at (0.1578, 0.2500, 0.8071), Au at (0.1637, 0.7500, 0.0196), Au at (0.2173, 0.2500, 0.5968), Au at (0.2583, 0.7500, 0.4005), Au at (0.3449, 0.2500, 0.2225) and Au at (0.4015, 0.7500, 0.7910).

=====

[3]
Ag4PdAu6 | PBE | relaxed

Its magnetic moment is 0.00 μB per cell.

It has space group I-42m (No. 121), with a = 5.4921 Å, b = 5.4921 Å, c = 14.1881 Å, α = 90.00°, β = 90.00° and γ = 90.00°. The inequivalent atoms are Ag at (0.1902, 0.1902, 0.3591), Pd at (0.0000, 0.0000, 0.0000), Au at (0.0000, 0.5000, 0.0000) and Au at (0.1942, 0.1942, 0.1637).

=====

[4]
Ag5Pd2Au3 | PBE | relaxed

Its magnetic moment is 0.00 μB per cell.

It has space group P-1 (No. 2), with a = 4.8670 Å, b = 4.9577 Å, c = 9.4095 Å, α = 79.43°, β = 85.82° and γ = 60.71°. The inequivalent atoms are Ag at (0.0000, 0.0000, 0.0000), Ag at (0.1730, 0.1626, 0.5042), Ag at (0.4893, 0.9445, 0.2018), Pd at (0.1616, 0.5851, 0.2516), Au at (0.1801, 0.7286, 0.7582) and Au at (0.5000, 0.5000, 0.5000).

=====

[5]
AgPd2Au2 | PBE | relaxed

Its magnetic moment is 0.00 μB per cell.

It has space group P4/mbm (No. 127), with a = 7.6530 Å, b = 7.6530 Å, c = 3.0776 Å, α = 90.00°, β = 90.00° and γ = 90.00°. The inequivalent atoms are Ag at (0.0000, 0.0000, 0.0000), Pd at (0.1338, 0.3662, 0.0000) and Au at (0.1633, 0.6633, 0.5000).

=====

[6]
Ag5Pd5Au | PBE | relaxed

Its magnetic moment is 0.00 μB per cell.

It has space group P-1 (No. 2), with a = 5.1829 Å, b = 5.3155 Å, c = 7.0819 Å, α = 97.87°, β = 97.36° and γ = 94.71°. The inequivalent atoms are Ag at (0.0000, 0.0000, 0.0000), Ag at (0.2599, 0.2074, 0.7261), Ag at (0.4987, 0.7432, 0.8774), Pd at (0.0118, 0.6771, 0.6512), Pd at (0.2679, 0.9031, 0.3686), Pd at (0.5000, 0.5000, 0.5000) and Au at (0.0000, 0.5000, 0.0000).

=====

no.,energy relative to the elements (kcal/mol of atoms)
1,-1.771
2,-0.290
3,2.325
4,1.729
5,1.449
6,1.527